# Er5AgPt2 | Alexandria via LeMat-Bulk | PBE-GGA | relaxed
# Density of states at the Fermi level ... 7.63 states/eV/f.u.
# Calculated formation energy ... -6.36 eV/f.u.
data_Er5AgPt2
_chemical_formula_sum 'Er20 Ag4 Pt8'
_cell_length_a 7.763
_cell_length_b 7.763
_cell_length_c 13.100
_cell_angle_alpha 90.00
_cell_angle_beta 90.00
_cell_angle_gamma 90.00
_space_group_name_H-M_alt 'I 4/m c m'
_space_group_IT_number 140
_space_group_name_Hall '-I 4 2c'
loop_
_atom_site_label
_atom_site_fract_x
_atom_site_fract_y
_atom_site_fract_z
_atom_site_occupancy
Er1 0.000 0.000 0.000 1
Er2 0.160 0.340 0.139 1
Ag1 0.000 0.000 0.250 1
Pt1 0.138 0.362 0.500 1